This record from Alexandria via LeMat-Bulk describes an optimized crystal structure of BeZn2Se. The functional is PBE.

Cell: 6.1283 6.1283 4.5291 Å, 72.12 72.12 24.05°
Last column: nearest neighbours and their distance in Å.
Atoms (fractional coordinates):
Se (0.2500, 0.2500, 0.2500)  2 Se 2.55, 4 Be 2.60
Be (0.7500, 0.7500, 0.7500)  4 Zn 2.52, 2 Be 2.55, 4 Se 2.60
Zn (0.4397, 0.4397, 0.5347)  2 Be 2.52, 2 Zn 2.55
Zn (0.0603, 0.0603, 0.9653)  2 Be 2.52, 2 Zn 2.55

Properties
Its density of states at the Fermi level is 1.06 states/eV/f.u. The symmetry is C2/m (12). For the distance to the lowest polymorph of the same formula, the calculation gives 0.252 eV/atom. The value obtained for the energy relative to the elements, uncorrected is 240 meV per atom. As for the total energy: -8.80 eV per formula unit.

***

This record from Alexandria via LeMat-Bulk describes an optimized crystal structure of BeZn2Se. The functional is PBE.

Cell: 3.3173 3.3173 6.3805 Å, 90.00 90.00 90.00°
Last column: nearest neighbours and their distance in Å.
Atoms (fractional coordinates):
Se (0.5000, 0.5000, 0.6110)  4 Be 2.36, 1 Zn 2.54
Zn (0.0000, 0.0000, 0.0287)  1 Be 2.43, 4 Zn 2.62
Be (0.0000, 0.0000, 0.6473)  4 Se 2.36, 1 Zn 2.43
Zn (0.5000, 0.5000, 0.2130)  1 Se 2.54, 4 Zn 2.62

Properties
Its density of states at the Fermi level is 1.48 states/eV/f.u. The symmetry is P4mm (99). For the distance to the lowest polymorph of the same formula, the calculation gives 0.116 eV/atom. The value obtained for the energy relative to the elements, uncorrected is 104 meV per atom. As for the total energy: -9.34 eV per formula unit.

***

This record from Alexandria via LeMat-Bulk describes an optimized crystal structure of BeZnSe. The functional is PBE.

Cell: 6.2039 6.2039 6.2039 Å, 151.22 151.22 41.15°
Last column: nearest neighbours and their distance in Å.
Atoms (fractional coordinates):
Se (0.6057, 0.6057, 0.0000)  4 Be 2.37
Zn (0.3681, 0.3681, 0.0000)  1 Se 2.76, 4 Be 2.85, 4 Zn 3.08
Be (0.0262, 0.0262, 0.0000)  4 Se 2.37

Properties
Its density of states at the Fermi level is 0.58 states/eV/f.u. The symmetry is I4mm (107). For the distance to the lowest polymorph of the same formula, the calculation gives 0.383 eV/atom. The value obtained for the energy relative to the elements, uncorrected is 298 meV per atom. As for the total energy: -7.59 eV per formula unit.

***

This record from Alexandria via LeMat-Bulk describes an optimized crystal structure of BeZnSe3. The functional is PBE.

Cell: 4.6153 4.6153 4.6153 Å, 90.00 90.00 90.00°
Last column: nearest neighbours and their distance in Å.
Atoms (fractional coordinates):
Se (0.5000, 0.0000, 0.0000)  2 Be 2.31
Se (0.0000, 0.5000, 0.0000)  2 Be 2.31
Be (0.0000, 0.0000, 0.0000)  6 Se 2.31
Zn (0.5000, 0.5000, 0.5000)  12 Se 3.26
Se (0.0000, 0.0000, 0.5000)  2 Be 2.31

Properties
Its density of states at the Fermi level is 6.00 states/eV/f.u. The symmetry is Pm-3m (221). For the distance to the lowest polymorph of the same formula, the calculation gives 0.000 eV/atom. The value obtained for the energy relative to the elements, uncorrected is 335 meV per atom. As for the total energy: -13.78 eV per formula unit.

***

Please write out number 2 again, unchanged.
This record from Alexandria via LeMat-Bulk describes an optimized crystal structure of BeZn2Se. The functional is PBE.

Cell: 3.3173 3.3173 6.3805 Å, 90.00 90.00 90.00°
Last column: nearest neighbours and their distance in Å.
Atoms (fractional coordinates):
Se (0.5000, 0.5000, 0.6110)  4 Be 2.36, 1 Zn 2.54
Zn (0.0000, 0.0000, 0.0287)  1 Be 2.43, 4 Zn 2.62
Be (0.0000, 0.0000, 0.6473)  4 Se 2.36, 1 Zn 2.43
Zn (0.5000, 0.5000, 0.2130)  1 Se 2.54, 4 Zn 2.62

Properties
Its density of states at the Fermi level is 1.48 states/eV/f.u. The symmetry is P4mm (99). For the distance to the lowest polymorph of the same formula, the calculation gives 0.116 eV/atom. The value obtained for the energy relative to the elements, uncorrected is 104 meV per atom. As for the total energy: -9.34 eV per formula unit.